! Mg2TaCr PBE optimized geometry; values from VASP
&SYSTEM
  ibrav = 0, nat = 4, ntyp = 3
/
ATOMIC_SPECIES
Cr 52.00 Cr.upf
Mg 24.30 Mg.upf
Ta 180.95 Ta.upf
CELL_PARAMETERS angstrom
2.918 -1.115 3.495
1.518 3.323 2.936
-1.516 0.080 4.434
ATOMIC_POSITIONS crystal
Cr 0.000 0.000 0.000
Mg 0.250 0.250 0.250
Mg 0.750 0.750 0.750
Ta 0.500 0.500 0.500
! - Space group: Fm-3m
! - DOS at the Fermi energy: 3.33 states/eV/cell



! HfMgSCl2 PBE optimized geometry; values from VASP
&SYSTEM
  ibrav = 0, nat = 5, ntyp = 4
/
ATOMIC_SPECIES
S 32.06 S.upf
Hf 178.49 Hf.upf
Mg 24.30 Mg.upf
Cl 35.45 Cl.upf
CELL_PARAMETERS angstrom
-0.687 -4.543 0.101
4.155 -0.669 -1.848
2.074 -0.208 4.739
ATOMIC_POSITIONS crystal
S 0.000 0.000 0.500
Hf 0.500 0.500 0.500
Mg 0.000 0.000 0.000
Cl 0.000 0.500 0.000
Cl 0.500 0.000 0.000
! - Space group: P4/mmm
! - Formation energy (no corrections): -0.462 eV/atom
! - DOS at the Fermi energy: 4.02 states/eV/cell



! Rb2AsIrCl6 PBE optimized geometry; values from VASP
&SYSTEM
  ibrav = 0, nat = 10, ntyp = 4
/
ATOMIC_SPECIES
As 74.92 As.upf
Ir 192.22 Ir.upf
Rb 85.47 Rb.upf
Cl 35.45 Cl.upf
CELL_PARAMETERS angstrom
-2.257 -3.679 5.729
6.034 1.716 3.479
-0.356 3.225 6.421
ATOMIC_POSITIONS crystal
As 0.500 0.500 0.000
Ir 0.000 0.000 0.000
Rb 0.750 0.250 0.500
Rb 0.250 0.750 0.500
Cl 0.240 0.240 0.521
Cl 0.760 0.760 0.479
Cl 0.241 0.241 0.000
Cl 0.759 0.759 0.000
Cl 0.759 0.241 0.000
Cl 0.241 0.759 0.000
! - Space group: I4/mmm
! - Formation energy (no corrections): -0.887 eV/atom
! - DOS at the Fermi energy: 4.22 states/eV/cell



! Mg2InCuGe PBE optimized geometry; values from VASP
&SYSTEM
  ibrav = 0, nat = 5, ntyp = 4
/
ATOMIC_SPECIES
Ge 72.64 Ge.upf
Mg 24.30 Mg.upf
Cu 63.55 Cu.upf
In 114.82 In.upf
CELL_PARAMETERS angstrom
5.259 0.000 0.000
0.000 4.818 0.000
0.000 0.000 5.259
ATOMIC_POSITIONS crystal
Ge 0.500 0.500 0.500
Mg 0.000 0.000 0.500
Mg 0.500 0.000 0.000
Cu 0.000 0.500 0.000
In 0.000 0.000 0.000
! - Space group: P4/mmm
! - DOS at the Fermi energy: 2.89 states/eV/cell



! NpScPa2As4 PBE optimized geometry; values from VASP
&SYSTEM
  ibrav = 0, nat = 8, ntyp = 4
/
ATOMIC_SPECIES
Np 237.00 Np.upf
Sc 44.96 Sc.upf
Pa 231.04 Pa.upf
As 74.92 As.upf
CELL_PARAMETERS angstrom
4.066 0.000 0.000
0.000 7.031 0.124
0.000 -2.454 6.522
ATOMIC_POSITIONS crystal
Np 0.000 0.000 0.000
Sc 0.500 0.500 0.000
Pa 0.500 0.000 0.500
Pa 0.000 0.500 0.500
As 0.500 0.255 0.245
As 0.500 0.745 0.755
As 0.000 0.259 0.759
As 0.000 0.741 0.241
! - Space group: P2/m
! - DOS at the Fermi energy: 13.29 states/eV/cell



! Na3SnI PBE optimized geometry; values from VASP
&SYSTEM
  ibrav = 0, nat = 5, ntyp = 3
/
ATOMIC_SPECIES
I 126.90 I.upf
Na 22.99 Na.upf
Sn 118.71 Sn.upf
CELL_PARAMETERS angstrom
-4.126 3.903 -1.285
-2.100 -3.568 -4.095
-3.532 -2.438 3.936
ATOMIC_POSITIONS crystal
I 0.000 0.000 0.000
Na 0.000 0.500 0.000
Na 0.000 0.000 0.500
Na 0.500 0.000 0.000
Sn 0.500 0.500 0.500
! - Space group: Pm-3m
! - Formation energy (no corrections): -0.188 eV/atom
! - DOS at the Fermi energy: 3.48 states/eV/cell



! DyGeHRu2 PBE optimized geometry; values from VASP
&SYSTEM
  ibrav = 0, nat = 10, ntyp = 4
/
ATOMIC_SPECIES
Dy 162.50 Dy.upf
Ge 72.64 Ge.upf
H 1.01 H.upf
Ru 101.07 Ru.upf
CELL_PARAMETERS angstrom
-2.361 0.301 -2.300
4.916 -1.692 -2.887
-1.929 -7.345 1.019
ATOMIC_POSITIONS crystal
Dy 0.468 0.937 0.750
Dy 0.532 0.063 0.250
Ge 0.743 0.486 0.750
Ge 0.257 0.514 0.250
H 0.000 0.000 0.000
H 0.000 0.000 0.500
Ru 0.150 0.300 0.955
Ru 0.850 0.700 0.045
Ru 0.150 0.300 0.545
Ru 0.850 0.700 0.455
! - Space group: Cmcm
! - DOS at the Fermi energy: 11.71 states/eV/cell



! AcTbDyTh PBE optimized geometry; values from VASP
&SYSTEM
  ibrav = 0, nat = 4, ntyp = 4
/
ATOMIC_SPECIES
Ac 227.00 Ac.upf
Tb 158.93 Tb.upf
Th 232.04 Th.upf
Dy 162.50 Dy.upf
CELL_PARAMETERS angstrom
-5.458 -1.690 -1.084
-1.501 -1.731 -5.345
-1.159 -5.607 -1.022
ATOMIC_POSITIONS crystal
Ac 0.250 0.250 0.250
Tb 0.000 0.000 0.000
Th 0.750 0.750 0.750
Dy 0.500 0.500 0.500
! - Space group: F-43m
! - DOS at the Fermi energy: 6.89 states/eV/cell



! RbNa5MgHg2 PBE optimized geometry; values from VASP
&SYSTEM
  ibrav = 0, nat = 9, ntyp = 4
/
ATOMIC_SPECIES
Rb 85.47 Rb.upf
Na 22.99 Na.upf
Mg 24.30 Mg.upf
Hg 200.59 Hg.upf
CELL_PARAMETERS angstrom
-3.844 -3.619 2.447
4.313 -2.626 2.892
-1.364 7.314 8.676
ATOMIC_POSITIONS crystal
Rb 0.500 0.500 0.500
Na 0.000 0.000 0.500
Na 0.000 0.500 0.835
Na 0.500 0.000 0.165
Na 0.000 0.500 0.165
Na 0.500 0.000 0.835
Mg 0.000 0.000 0.000
Hg 0.000 0.000 0.246
Hg 0.000 0.000 0.754
! - Space group: P4/mmm
! - DOS at the Fermi energy: 6.08 states/eV/cell



! Sr2CaCd12Hg3 PBE optimized geometry; values from VASP
&SYSTEM
  ibrav = 0, nat = 18, ntyp = 4
/
ATOMIC_SPECIES
Sr 87.62 Sr.upf
Ca 40.08 Ca.upf
Cd 112.41 Cd.upf
Hg 200.59 Hg.upf
CELL_PARAMETERS angstrom
-0.332 6.797 -4.042
-5.763 3.079 4.466
4.961 3.824 4.838
ATOMIC_POSITIONS crystal
Sr 0.730 0.730 0.730
Sr 0.270 0.270 0.270
Ca 0.000 0.000 0.000
Cd 0.425 0.425 0.852
Cd 0.796 0.796 0.298
Cd 0.298 0.796 0.796
Cd 0.852 0.425 0.425
Cd 0.796 0.298 0.796
Cd 0.425 0.852 0.425
Cd 0.575 0.575 0.148
Cd 0.204 0.204 0.702
Cd 0.702 0.204 0.204
Cd 0.148 0.575 0.575
Cd 0.204 0.702 0.204
Cd 0.575 0.148 0.575
Hg 0.500 0.000 0.000
Hg 0.000 0.500 0.000
Hg 0.000 0.000 0.500
! - Space group: R-3m
! - DOS at the Fermi energy: 9.74 states/eV/cell



! Cd2OsO5 PBE optimized geometry; values from VASP
&SYSTEM
  ibrav = 0, nat = 16, ntyp = 3
/
ATOMIC_SPECIES
Cd 112.41 Cd.upf
Os 190.23 Os.upf
O 16.00 O.upf
CELL_PARAMETERS angstrom
-1.511 -3.283 1.117
3.717 1.987 4.464
-8.280 5.347 4.515
ATOMIC_POSITIONS crystal
Cd 0.862 0.724 0.433
Cd 0.862 0.724 0.067
Cd 0.138 0.276 0.567
Cd 0.138 0.276 0.933
Os 0.844 0.687 0.750
Os 0.156 0.313 0.250
O 0.953 0.906 0.878
O 0.953 0.906 0.622
O 0.277 0.554 0.383
O 0.277 0.554 0.117
O 0.666 0.333 0.250
O 0.334 0.667 0.750
O 0.723 0.446 0.617
O 0.723 0.446 0.883
O 0.047 0.094 0.122
O 0.047 0.094 0.378
! - Space group: Cmcm
! - Formation energy (no corrections): -0.954 eV/atom
! - DOS at the Fermi energy: 6.53 states/eV/cell



! Cs2LiHgI5 PBE optimized geometry; values from VASP
&SYSTEM
  ibrav = 0, nat = 18, ntyp = 4
/
ATOMIC_SPECIES
Cs 132.91 Cs.upf
Li 6.94 Li.upf
Hg 200.59 Hg.upf
I 126.90 I.upf
CELL_PARAMETERS angstrom
-1.799 1.776 -3.962
6.047 -9.296 -4.124
-12.682 -9.013 1.718
ATOMIC_POSITIONS crystal
Cs 0.866 0.732 0.812
Cs 0.128 0.255 0.690
Cs 0.134 0.268 0.312
Cs 0.872 0.745 0.190
Li 0.773 0.545 0.551
Li 0.227 0.455 0.051
Hg 0.567 0.134 0.930
Hg 0.433 0.866 0.430
I 0.341 0.682 0.002
I 0.684 0.368 0.880
I 0.501 0.001 0.777
I 0.294 0.587 0.649
I 0.961 0.922 0.533
I 0.659 0.318 0.502
I 0.316 0.632 0.380
I 0.499 0.999 0.277
I 0.706 0.413 0.149
I 0.039 0.078 0.033
! - Space group: Cmc2_1
! - Formation energy (no corrections): -1.048 eV/atom



! La4Pr4Y PBE optimized geometry; values from VASP
&SYSTEM
  ibrav = 0, nat = 9, ntyp = 3
/
ATOMIC_SPECIES
La 138.91 La.upf
Pr 140.91 Pr.upf
Y 88.91 Y.upf
CELL_PARAMETERS angstrom
5.284 0.000 0.000
2.642 7.840 0.000
2.642 0.000 7.840
ATOMIC_POSITIONS crystal
La 0.667 0.665 0.000
La 0.333 0.335 0.000
La 0.667 0.000 0.665
La 0.333 0.000 0.335
Pr 0.668 0.332 0.332
Pr 0.332 0.668 0.668
Pr 0.000 0.668 0.332
Pr 0.000 0.332 0.668
Y 0.000 0.000 0.000
! - Space group: I4/mmm
! - DOS at the Fermi energy: 15.70 states/eV/cell



! Ac2La5Er4 PBE optimized geometry; values from VASP
&SYSTEM
  ibrav = 0, nat = 11, ntyp = 3
/
ATOMIC_SPECIES
Ac 227.00 Ac.upf
La 138.91 La.upf
Er 167.26 Er.upf
CELL_PARAMETERS angstrom
-0.457 -0.169 3.685
-4.614 -2.373 -0.681
2.583 -21.452 -2.536
ATOMIC_POSITIONS crystal
Ac 0.592 0.724 0.183
Ac 0.408 0.276 0.817
La 0.139 0.083 0.278
La 0.861 0.917 0.722
La 0.228 0.816 0.456
La 0.500 0.000 0.000
La 0.772 0.184 0.544
Er 0.683 0.451 0.365
Er 0.044 0.367 0.088
Er 0.317 0.549 0.635
Er 0.956 0.633 0.912
! - Space group: C2/m
! - DOS at the Fermi energy: 17.58 states/eV/cell



! RbBa2Hf2 PBE optimized geometry; values from VASP
&SYSTEM
  ibrav = 0, nat = 5, ntyp = 3
/
ATOMIC_SPECIES
Hf 178.49 Hf.upf
Ba 137.33 Ba.upf
Rb 85.47 Rb.upf
CELL_PARAMETERS angstrom
4.151 0.000 0.000
0.000 4.151 0.000
2.075 2.075 14.071
ATOMIC_POSITIONS crystal
Hf 0.750 0.250 0.500
Hf 0.250 0.750 0.500
Ba 0.359 0.359 0.281
Ba 0.641 0.641 0.719
Rb 0.000 0.000 0.000
! - Space group: I4/mmm
! - DOS at the Fermi energy: 6.51 states/eV/cell



! Ca2AuSe PBE optimized geometry; values from VASP
&SYSTEM
  ibrav = 0, nat = 4, ntyp = 3
/
ATOMIC_SPECIES
Ca 40.08 Ca.upf
Au 196.97 Au.upf
Se 78.96 Se.upf
CELL_PARAMETERS angstrom
-4.139 -0.094 -0.685
-2.432 -2.617 2.201
-3.137 4.193 5.522
ATOMIC_POSITIONS crystal
Ca 0.083 0.083 0.751
Ca 0.250 0.250 0.250
Au 0.666 0.666 0.001
Se 0.501 0.501 0.498
! - Space group: R3m
! - Formation energy (no corrections): -1.241 eV/atom
! - DOS at the Fermi energy: 1.62 states/eV/cell



! TmTlCdHg PBE optimized geometry; values from VASP
&SYSTEM
  ibrav = 0, nat = 4, ntyp = 4
/
ATOMIC_SPECIES
Tm 168.93 Tm.upf
Tl 204.38 Tl.upf
Cd 112.41 Cd.upf
Hg 200.59 Hg.upf
CELL_PARAMETERS angstrom
4.819 0.000 0.000
0.000 4.198 0.000
0.000 0.000 4.843
ATOMIC_POSITIONS crystal
Tm 0.500 0.000 0.500
Tl 0.000 0.500 0.500
Cd 0.000 0.000 0.000
Hg 0.500 0.500 0.000
! - Space group: Pmmm
! - DOS at the Fermi energy: 1.75 states/eV/cell



! OsAuCl2 PBE optimized geometry; values from VASP
&SYSTEM
  ibrav = 0, nat = 4, ntyp = 3
/
ATOMIC_SPECIES
Os 190.23 Os.upf
Au 196.97 Au.upf
Cl 35.45 Cl.upf
CELL_PARAMETERS angstrom
-2.187 1.081 1.970
0.093 -2.923 -1.131
5.424 -2.739 7.524
ATOMIC_POSITIONS crystal
Os 0.000 0.000 0.499
Au 0.500 0.500 0.735
Cl 0.000 0.000 0.957
Cl 0.500 0.500 0.308
! - Space group: Cmm2
! - Formation energy (no corrections): 0.489 eV/atom
! - DOS at the Fermi energy: 4.90 states/eV/cell



! Ac7Pb2AuN2 PBE optimized geometry; values from VASP
&SYSTEM
  ibrav = 0, nat = 12, ntyp = 4
/
ATOMIC_SPECIES
Ac 227.00 Ac.upf
Pb 207.20 Pb.upf
Au 196.97 Au.upf
N 14.01 N.upf
CELL_PARAMETERS angstrom
-1.633 3.092 -3.972
-2.995 -3.953 -1.845
-12.894 3.963 4.867
ATOMIC_POSITIONS crystal
Ac 0.500 0.500 0.000
Ac 0.306 0.306 0.390
Ac 0.694 0.694 0.610
Ac 0.908 0.408 0.184
Ac 0.408 0.908 0.184
Ac 0.592 0.092 0.816
Ac 0.092 0.592 0.816
Pb 0.823 0.823 0.356
Pb 0.177 0.177 0.644
Au 0.000 0.000 0.000
N 0.600 0.600 0.800
N 0.400 0.400 0.200
! - Space group: C2/m
! - Formation energy (no corrections): -0.663 eV/atom
! - DOS at the Fermi energy: 12.50 states/eV/cell



! U2Pa PBE optimized geometry; values from VASP
&SYSTEM
  ibrav = 0, nat = 6, ntyp = 2
/
ATOMIC_SPECIES
Pa 231.04 Pa.upf
U 238.03 U.upf
CELL_PARAMETERS angstrom
5.706 0.000 0.000
2.853 4.941 0.000
2.853 1.647 4.659
ATOMIC_POSITIONS crystal
Pa 0.000 0.000 0.000
Pa 0.250 0.250 0.250
U 0.125 0.625 0.625
U 0.625 0.125 0.625
U 0.625 0.625 0.625
U 0.625 0.625 0.125
! - Space group: Fd-3m
! - DOS at the Fermi energy: 18.20 states/eV/cell



Ρ: 6421; 4642; 4116; 3734; 9233; 2646; 10049; 9318; 2685; 7316; 6865; 4313; 6177; 7670; 4913; 5375; 11634; 9727; 9544; 17879 (kg/m³)
E: -22.07; -21.68; -35.40; -11.36; -65.13; -10.45; -33.20; -20.16; -9.81; -18.94; -45.49; -21.10; -45.17; -50.65; -21.82; -15.73; -9.05; -16.25; -64.06; -31.82 (eV/f.u.)